Here is Ba4Nb2WO12 after structural relaxation from Alexandria via LeMat-Bulk. Energies are from PBE+U.

Unit cell a=5.8647 b=5.8647 c=28.6455 alpha=90.00 beta=90.00 gamma=120.00
Space group R3m (No. 160, hexagonal axes)
Unique sites:
Ba: 0.0000 0.0000 0.0000 x3
Ba: 0.0000 0.0000 0.1534 x3
Ba: 0.0000 0.0000 0.4250 x3
Ba: 0.0000 0.0000 0.5781 x3
Nb: 0.0000 0.0000 0.2881 x3
Nb: 0.0000 0.0000 0.8658 x3
W: 0.0000 0.0000 0.7096 x3
O: 0.0155 0.5078 0.4089 x9
O: 0.1692 0.3384 0.5027 x9
O: 0.1696 0.3392 0.3313 x9
O: 0.1699 0.3399 0.9180 x9

Output
Volume in Å³/atom: 15.0
Density of states at the Fermi level in states/eV/atom: 0.00
Total DFT energy (no corrections) in eV/atom: -7.710